The following is a DFT calculation (PBE) of a relaxed CaGa4AgAu2 crystal.

Summary:
M_tot = 0.000 μB/cell

a = 9.986 Å, b = 9.986 Å, c = 9.986 Å
α = 25.79°, β = 25.79°, γ = 25.79°
Fractional positions:
Ca1 0.000 0.000 0.000
Ga1 0.125 0.125 0.125
Ga2 0.406 0.406 0.406
Ga3 0.594 0.594 0.594
Ga4 0.875 0.875 0.875
Ag1 0.500 0.500 0.500
Au1 0.269 0.269 0.269
Au2 0.731 0.731 0.731

=====

The following is a DFT calculation (PBE) of a relaxed CaGa2AgAu2 crystal.

Summary:
M_tot = 0.000 μB/cell

a = 4.569 Å, b = 4.569 Å, c = 6.624 Å
α = 90.00°, β = 90.00°, γ = 120.00°
Fractional positions:
Ca1 0.000 0.000 0.000
Ga1 0.333 0.667 0.707
Ga2 0.667 0.333 0.293
Ag1 0.000 0.000 0.500
Au1 0.333 0.667 0.278
Au2 0.667 0.333 0.722

=====

Number 1: E_form -291 meV/atom. Number 2: E_form -458 meV/atom.